Entry 1:
# Sr3Al2Cu2 (PBE-GGA, optimized geometry)
# * total energy: -3.1030 eV per atom
# * E_form: -143 meV/atom
# * symmetry: Pbcm
data_Sr3Al2Cu2
_chemical_formula_sum 'Sr12 Al8 Cu8'
_symmetry_space_group_name_H-M 'P 1'
_symmetry_Int_Tables_number 1
_cell_length_a 6.168
_cell_length_b 8.721
_cell_length_c 13.861
_cell_angle_alpha 90.00
_cell_angle_beta 90.00
_cell_angle_gamma 90.00
loop_
_symmetry_equiv_pos_as_xyz
'x,y,z'
loop_
_atom_site_label
_atom_site_type_symbol
_atom_site_fract_x
_atom_site_fract_y
_atom_site_fract_z
Al1 Al 0.384 0.250 0.500
Sr1 Sr 0.339 0.238 0.750
Cu1 Cu 0.391 0.973 0.085
Sr2 Sr 0.862 0.110 0.100
Sr3 Sr 0.138 0.610 0.100
Cu2 Cu 0.391 0.527 0.585
Al2 Al 0.193 0.587 0.750
Sr4 Sr 0.862 0.390 0.900
Sr5 Sr 0.862 0.390 0.600
Sr6 Sr 0.138 0.890 0.900
Al3 Al 0.384 0.250 0.000
Sr7 Sr 0.661 0.762 0.250
Al4 Al 0.193 0.913 0.250
Al5 Al 0.807 0.087 0.750
Sr8 Sr 0.138 0.890 0.600
Sr9 Sr 0.862 0.110 0.400
Al6 Al 0.807 0.413 0.250
Cu3 Cu 0.391 0.527 0.915
Cu4 Cu 0.609 0.473 0.085
Sr10 Sr 0.138 0.610 0.400
Sr11 Sr 0.661 0.738 0.750
Cu5 Cu 0.391 0.973 0.415
Al7 Al 0.616 0.750 0.500
Sr12 Sr 0.339 0.262 0.250
Cu6 Cu 0.609 0.027 0.585
Cu7 Cu 0.609 0.473 0.415
Al8 Al 0.616 0.750 0.000
Cu8 Cu 0.609 0.027 0.915

=====

Entry 2:
# LiHo4BiS8 (PBE-GGA, optimized geometry)
# * formation energy (no corrections): -1.67 eV per atom
# * total energy: -5.7495 eV per atom
# * symmetry: R3m
data_LiHo4BiS8
_chemical_formula_sum 'Li1 Ho4 Bi1 S8'
_symmetry_space_group_name_H-M 'P 1'
_symmetry_Int_Tables_number 1
_cell_length_a 7.993
_cell_length_b 7.993
_cell_length_c 8.067
_cell_angle_alpha 60.30
_cell_angle_beta 60.30
_cell_angle_gamma 60.00
loop_
_symmetry_equiv_pos_as_xyz
'x,y,z'
loop_
_atom_site_label
_atom_site_type_symbol
_atom_site_fract_x
_atom_site_fract_y
_atom_site_fract_z
S1 S 0.249 0.767 0.735
Bi1 Bi 0.009 0.009 0.974
Ho1 Ho 0.490 0.004 0.502
S2 S 0.229 0.752 0.268
S3 S 0.752 0.229 0.268
Ho2 Ho 0.004 0.490 0.502
Ho3 Ho 0.004 0.004 0.502
S4 S 0.249 0.249 0.735
Li1 Li 0.371 0.371 0.888
S5 S 0.242 0.242 0.275
S6 S 0.752 0.752 0.268
S7 S 0.759 0.759 0.724
S8 S 0.767 0.249 0.735
Ho4 Ho 0.626 0.626 0.122

=====

Entry 3:
# Pa2BiPt (PBE-GGA, optimized geometry)
# * relative energy among the computed polymorphs: 0.00 kJ/mol of atoms
# * total energy: -7.6586 eV per atom
# * E_form: -430 meV/atom
# * symmetry: P4/mmm
data_Pa2BiPt
_chemical_formula_sum 'Pa2 Bi1 Pt1'
_symmetry_space_group_name_H-M 'P 1'
_symmetry_Int_Tables_number 1
_cell_length_a 3.418
_cell_length_b 3.418
_cell_length_c 8.396
_cell_angle_alpha 90.00
_cell_angle_beta 90.00
_cell_angle_gamma 90.00
loop_
_symmetry_equiv_pos_as_xyz
'x,y,z'
loop_
_atom_site_label
_atom_site_type_symbol
_atom_site_fract_x
_atom_site_fract_y
_atom_site_fract_z
Pa1 Pa 0.000 0.000 0.784
Pa2 Pa 0.000 0.000 0.216
Bi1 Bi 0.500 0.500 0.500
Pt1 Pt 0.500 0.500 0.000

=====

Entry 4:
# Tb10ErTm4 (PBE-GGA, optimized geometry)
# * total energy: -3.8681 eV per atom
# * E_form: 715 meV/atom
# * symmetry: I4/m
data_Tb10ErTm4
_chemical_formula_sum 'Tb10 Er1 Tm4'
_symmetry_space_group_name_H-M 'P 1'
_symmetry_Int_Tables_number 1
_cell_length_a 7.628
_cell_length_b 9.343
_cell_length_c 9.343
_cell_angle_alpha 80.41
_cell_angle_beta 65.91
_cell_angle_gamma 65.91
loop_
_symmetry_equiv_pos_as_xyz
'x,y,z'
loop_
_atom_site_label
_atom_site_type_symbol
_atom_site_fract_x
_atom_site_fract_y
_atom_site_fract_z
Tm1 Tm 0.600 0.200 0.600
Tm2 Tm 0.200 0.400 0.200
Tm3 Tm 0.800 0.600 0.800
Tb1 Tb 0.050 0.101 0.300
Tm4 Tm 0.400 0.800 0.400
Tb2 Tb 0.650 0.300 0.899
Tb3 Tb 0.451 0.899 0.700
Tb4 Tb 0.950 0.899 0.700
Tb5 Tb 0.549 0.101 0.300
Tb6 Tb 0.350 0.700 0.101
Tb7 Tb 0.150 0.300 0.899
Tb8 Tb 0.850 0.700 0.101
Er1 Er 0.000 0.000 0.000
Tb9 Tb 0.250 0.500 0.500
Tb10 Tb 0.750 0.500 0.500

=====

Entry 5:
# KScTaMn2 (PBE-GGA, optimized geometry)
# * total energy: -5.3286 eV per atom
# * E_form: 2196 meV/atom
# * symmetry: P4/mmm
data_KScTaMn2
_chemical_formula_sum 'K1 Sc1 Ta1 Mn2'
_symmetry_space_group_name_H-M 'P 1'
_symmetry_Int_Tables_number 1
_cell_length_a 4.738
_cell_length_b 4.934
_cell_length_c 4.738
_cell_angle_alpha 90.00
_cell_angle_beta 90.00
_cell_angle_gamma 90.00
loop_
_symmetry_equiv_pos_as_xyz
'x,y,z'
loop_
_atom_site_label
_atom_site_type_symbol
_atom_site_fract_x
_atom_site_fract_y
_atom_site_fract_z
K1 K 0.000 0.000 0.000
Mn1 Mn 0.000 0.000 0.500
Mn2 Mn 0.500 0.000 0.000
Ta1 Ta 0.000 0.500 0.000
Sc1 Sc 0.500 0.500 0.500

=====

Entry 6:
# MgZr2Au3 (PBE-GGA, optimized geometry)
# * total energy: -5.2772 eV per atom
# * E_form: -523 meV/atom
# * symmetry: P4/mmm
data_MgZr2Au3
_chemical_formula_sum 'Mg1 Zr2 Au3'
_symmetry_space_group_name_H-M 'P 1'
_symmetry_Int_Tables_number 1
_cell_length_a 3.226
_cell_length_b 3.226
_cell_length_c 11.161
_cell_angle_alpha 90.00
_cell_angle_beta 90.00
_cell_angle_gamma 90.00
loop_
_symmetry_equiv_pos_as_xyz
'x,y,z'
loop_
_atom_site_label
_atom_site_type_symbol
_atom_site_fract_x
_atom_site_fract_y
_atom_site_fract_z
Au1 Au 0.000 0.000 0.654
Mg1 Mg 0.500 0.500 0.500
Au2 Au 0.000 0.000 0.000
Au3 Au 0.000 0.000 0.346
Zr1 Zr 0.500 0.500 0.173
Zr2 Zr 0.500 0.500 0.827

=====

Entry 7:
# FeOsCl (PBE-GGA, optimized geometry)
# * formation energy (no corrections): 0.48 eV per atom
# * relative energy among the computed polymorphs: 0.00 kJ/mol of atoms
# * total energy: -6.6954 eV per atom
# * symmetry: P3m1
data_FeOsCl
_chemical_formula_sum 'Fe1 Os1 Cl1'
_symmetry_space_group_name_H-M 'P 1'
_symmetry_Int_Tables_number 1
_cell_length_a 2.851
_cell_length_b 2.851
_cell_length_c 6.177
_cell_angle_alpha 90.00
_cell_angle_beta 90.00
_cell_angle_gamma 120.00
loop_
_symmetry_equiv_pos_as_xyz
'x,y,z'
loop_
_atom_site_label
_atom_site_type_symbol
_atom_site_fract_x
_atom_site_fract_y
_atom_site_fract_z
Cl1 Cl 0.000 0.000 0.044
Os1 Os 0.333 0.667 0.631
Fe1 Fe 0.667 0.333 0.324

=====

Entry 8:
# BeTl2Pb (PBE-GGA, optimized geometry)
# * relative energy among the computed polymorphs: 0.00 kJ/mol of atoms
# * total energy: -2.7011 eV per atom
# * E_form: 341 meV/atom
# * symmetry: Cm
data_BeTl2Pb
_chemical_formula_sum 'Be1 Tl2 Pb1'
_symmetry_space_group_name_H-M 'P 1'
_symmetry_Int_Tables_number 1
_cell_length_a 4.398
_cell_length_b 4.398
_cell_length_c 7.453
_cell_angle_alpha 72.75
_cell_angle_beta 72.75
_cell_angle_gamma 58.99
loop_
_symmetry_equiv_pos_as_xyz
'x,y,z'
loop_
_atom_site_label
_atom_site_type_symbol
_atom_site_fract_x
_atom_site_fract_y
_atom_site_fract_z
Pb1 Pb 0.209 0.209 0.373
Be1 Be 0.535 0.535 0.382
Tl1 Tl 0.982 0.982 0.054
Tl2 Tl 0.774 0.774 0.691